Compound: Na2PaTiTe4
Source: the Alexandria database
Functional: PBE
Structure: optimized geometry

The structure in CIF format:
```
data_Na2PaTiTe4
_symmetry_space_group_name_H-M 'P 1'
_symmetry_Int_Tables_number 1
_cell_length_a 4.247
_cell_length_b 7.202
_cell_length_c 8.152
_cell_angle_alpha 107.48
_cell_angle_beta 90.00
_cell_angle_gamma 90.00
loop_
_symmetry_equiv_pos_as_xyz
'x,y,z'
loop_
_atom_site_label
_atom_site_fract_x
_atom_site_fract_y
_atom_site_fract_z
Te1 0.000 0.725 0.221
Na1 0.000 0.500 0.500
Ti1 0.500 0.500 0.000
Pa1 0.000 0.000 0.000
Na2 0.500 0.000 0.500
Te2 0.500 0.740 0.767
Te3 0.000 0.275 0.779
Te4 0.500 0.260 0.233
```

Values from the calculation:
The crystal system is monoclinic. The calculation puts the density of states at the Fermi level at 0.47 states/eV per atom. The total energy is -4.909 eV/atom. As for the total moment: 3.00 μB/cell. The formation energy (no corrections) is -6.7 eV/f.u. The space-group type is P2/m (10).

=====

Compound: SrPrCdPt
Source: the Alexandria database
Functional: PBE
Structure: optimized geometry

The structure in CIF format:
```
data_SrPrCdPt
_symmetry_space_group_name_H-M 'P 1'
_symmetry_Int_Tables_number 1
_cell_length_a 5.340
_cell_length_b 5.340
_cell_length_c 5.340
_cell_angle_alpha 60.00
_cell_angle_beta 60.00
_cell_angle_gamma 60.00
loop_
_symmetry_equiv_pos_as_xyz
'x,y,z'
loop_
_atom_site_label
_atom_site_fract_x
_atom_site_fract_y
_atom_site_fract_z
Sr1 0.000 0.000 0.000
Pr1 0.500 0.500 0.500
Pt1 0.750 0.750 0.750
Cd1 0.250 0.250 0.250
```

Values from the calculation:
The crystal system is cubic. The calculation puts the density of states at the Fermi level at 0.66 states/eV per atom. The total energy is -3.901 eV/atom. As for the total moment: 0.00 μB/cell. The formation energy from the elements is -0.55 eV/atom. The space-group type is F-43m (216).

=====

Compound: CaMgTcH2
Source: the Alexandria database
Functional: PBE
Structure: optimized geometry

The structure in CIF format:
```
data_CaMgTcH2
_symmetry_space_group_name_H-M 'P 1'
_symmetry_Int_Tables_number 1
_cell_length_a 3.403
_cell_length_b 3.403
_cell_length_c 7.365
_cell_angle_alpha 90.00
_cell_angle_beta 90.00
_cell_angle_gamma 120.00
loop_
_symmetry_equiv_pos_as_xyz
'x,y,z'
loop_
_atom_site_label
_atom_site_fract_x
_atom_site_fract_y
_atom_site_fract_z
H1 0.333 0.667 0.537
Ca1 0.333 0.667 0.864
H2 0.000 0.000 0.772
Mg1 0.667 0.333 0.273
Tc1 0.000 0.000 0.542
```

Values from the calculation:
The crystal system is trigonal. The calculation puts the density of states at the Fermi level at 0.42 states/eV per atom. The total energy is -4.053 eV/atom. As for the total moment: 0.00 μB/cell. The relative energy among the computed polymorphs comes out at 209 meV/atom. The space-group type is P3m1 (156).

=====

Compound: BeCr2As
Source: the Alexandria database
Functional: PBE
Structure: optimized geometry

The structure in CIF format:
```
data_BeCr2As
_symmetry_space_group_name_H-M 'P 1'
_symmetry_Int_Tables_number 1
_cell_length_a 3.429
_cell_length_b 3.429
_cell_length_c 8.899
_cell_angle_alpha 78.89
_cell_angle_beta 78.89
_cell_angle_gamma 90.00
loop_
_symmetry_equiv_pos_as_xyz
'x,y,z'
loop_
_atom_site_label
_atom_site_fract_x
_atom_site_fract_y
_atom_site_fract_z
Be1 0.500 0.500 0.000
Be2 0.250 0.750 0.500
Cr1 0.375 0.413 0.750
Cr2 0.163 0.625 0.250
As1 0.750 0.250 0.500
Cr3 0.875 0.837 0.750
As2 0.000 0.000 0.000
Cr4 0.587 0.125 0.250
```

Values from the calculation:
The crystal system is tetragonal. The calculation puts the density of states at the Fermi level at 0.33 states/eV per atom. The total energy is -6.552 eV/atom. As for the total moment: 0.00 μB/cell. The relative energy among the computed polymorphs comes out at 349 meV/atom. The formation energy from the elements is 0.35 eV/atom. The space-group type is I-42d (122).

=====

Compound: Tl2HgH6
Source: the Alexandria database
Functional: PBE
Structure: optimized geometry

The structure in CIF format:
```
data_Tl2HgH6
_symmetry_space_group_name_H-M 'P 1'
_symmetry_Int_Tables_number 1
_cell_length_a 4.922
_cell_length_b 5.122
_cell_length_c 6.287
_cell_angle_alpha 117.37
_cell_angle_beta 93.00
_cell_angle_gamma 88.30
loop_
_symmetry_equiv_pos_as_xyz
'x,y,z'
loop_
_atom_site_label
_atom_site_fract_x
_atom_site_fract_y
_atom_site_fract_z
H1 0.793 0.034 0.787
H2 0.167 0.719 0.769
Hg1 0.000 0.000 0.000
H3 0.833 0.281 0.231
H4 0.697 0.669 0.010
Tl1 0.481 0.361 0.698
Tl2 0.519 0.639 0.302
H5 0.303 0.331 0.990
H6 0.207 0.966 0.213
```

Values from the calculation:
The crystal system is triclinic. The calculation puts the density of states at the Fermi level at 0.12 states/eV per atom. The total energy is -2.342 eV/atom. As for the total moment: 0.00 μB/cell. The space-group type is P-1 (2).

=====

Compound: KTbAg2Br8
Source: the Alexandria database
Functional: PBE
Structure: optimized geometry

The structure in CIF format:
```
data_KTbAg2Br8
_symmetry_space_group_name_H-M 'P 1'
_symmetry_Int_Tables_number 1
_cell_length_a 7.134
_cell_length_b 7.134
_cell_length_c 9.133
_cell_angle_alpha 112.99
_cell_angle_beta 112.99
_cell_angle_gamma 90.00
loop_
_symmetry_equiv_pos_as_xyz
'x,y,z'
loop_
_atom_site_label
_atom_site_fract_x
_atom_site_fract_y
_atom_site_fract_z
Br1 0.740 0.856 0.125
Tb1 0.000 0.000 0.000
Br2 0.301 0.954 0.322
Br3 0.020 0.367 0.322
Br4 0.731 0.260 0.875
Br5 0.046 0.980 0.678
Ag1 0.250 0.750 0.500
Br6 0.385 0.269 0.125
K1 0.750 0.250 0.500
Br7 0.633 0.699 0.678
Ag2 0.500 0.500 0.000
Br8 0.144 0.615 0.875
```

Values from the calculation:
The crystal system is tetragonal. The calculation puts the density of states at the Fermi level at 1.15 states/eV per atom. The total energy is -2.994 eV/atom. As for the total moment: 0.00 μB/cell. The formation energy (no corrections) is -11.1 eV/f.u. The space-group type is I-4 (82).